Below is a geometry-optimized Er3Cd2In2 structure, with properties calculated at the GGA-PBE level.

Lattice parameters (Å, degrees): 4.743 3.355 11.285 90.00 77.87 90.00
Positions (direct):
In: 0.577 0.500 0.847
Er: 0.154 0.000 0.692
Er: 0.000 0.000 0.000
Er: 0.846 0.000 0.308
Cd: 0.285 0.500 0.431
Cd: 0.715 0.500 0.569
In: 0.423 0.500 0.153

The space group is No. 65. As for the density of states at the Fermi level: 0.78 states/eV/atom. For the density, the calculation gives 9044 kg/m³. The electronic total energy is -3.35 eV/atom. The calculation puts the calculated formation energy at -2.48 eV per formula unit.